No. 1
Material: BaThI6
Method: DFT, GGA-PBE
State: relaxed

For the density of states at the Fermi level, the calculation gives 0.0 states/eV per cell. As for the total energy: -3.734 eV/atom. Its space group is P-1 (2). The value obtained for the formation energy from raw total energies is -1.403 eV per atom.

abc: 8.1060 8.1026 8.7607
angles: 62.38 62.40 59.94
Positions (direct):
Ba1 0.5000 0.5000 0.5000
Th1 0.0000 0.0000 0.0000
I1 0.0585 0.4015 0.7616
I2 0.7771 0.0582 0.7633
I3 0.5987 0.2223 0.2380
I4 0.2229 0.9418 0.2367
I5 0.9415 0.5985 0.2384
I6 0.4013 0.7777 0.7620

=====

No. 2
Material: Nd2AlZn3Cu12
Method: DFT, GGA-PBE
State: relaxed

For the density of states at the Fermi level, the calculation gives 7.3 states/eV per cell. As for the total energy: -3.444 eV/atom. Its space group is R-3m (166). Its energy of formation is 237 meV per atom.

abc: 7.4807 7.4807 7.4807
angles: 66.36 66.36 66.36
Positions (direct):
Nd1 0.6005 0.6005 0.6005
Nd2 0.3995 0.3995 0.3995
Al1 0.0000 0.0000 0.0000
Zn1 0.5000 0.0000 0.0000
Zn2 0.0000 0.5000 0.0000
Zn3 0.0000 0.0000 0.5000
Cu1 0.3635 0.3635 0.0180
Cu2 0.8616 0.8616 0.3488
Cu3 0.3488 0.8616 0.8616
Cu4 0.0180 0.3635 0.3635
Cu5 0.8616 0.3488 0.8616
Cu6 0.3635 0.0180 0.3635
Cu7 0.6365 0.6365 0.9820
Cu8 0.1384 0.1384 0.6512
Cu9 0.6512 0.1384 0.1384
Cu10 0.9820 0.6365 0.6365
Cu11 0.1384 0.6512 0.1384
Cu12 0.6365 0.9820 0.6365

=====

- Look up the density of states at the Fermi level of the second one.
  7.3 states/eV per cell

=====

- Among the records above, which one has the highest total energy?
  Nd2AlZn3Cu12

=====

- Among the records above, which one has the highest density of states at the Fermi level?
  Nd2AlZn3Cu12

=====

- density of states at the Fermi level of number 2 (Nd2AlZn3Cu12)?
  7.3 states/eV per cell